(1)
Here is a PBEsol-optimized structure of ZrHPt3 from Alexandria via LeMat-Bulk. Energies are from meta-GGA SCAN.

POSCAR file:
```
ZrHPt3
1.0
4.0657 0.0000 0.0000
0.0000 4.0657 0.0000
0.0000 0.0000 4.0657
Zr H Pt
1 1 3
Cartesian
0.0000 0.0000 0.0000 Zr
2.0328 2.0328 2.0328 H
0.0000 2.0328 2.0328 Pt
2.0328 0.0000 2.0328 Pt
2.0328 2.0328 0.0000 Pt
```

Summary:
DOS at the Fermi energy	5.36	states/eV/f.u.
electronic total energy	-49.54	eV/atom
density	16.7	g/cm³
symmetry	Pm-3m (221)

---

(2)
Here is a PBEsol-optimized structure of ZrH2Pt2 from Alexandria via LeMat-Bulk. Energies are from meta-GGA SCAN.

POSCAR file:
```
ZrH2Pt2
1.0
-1.8093 1.8093 4.2936
1.8093 -1.8093 4.2936
1.8093 1.8093 -4.2936
Zr H Pt
1 2 2
Cartesian
0.0000 0.0000 0.0000 Zr
1.8093 0.0000 2.1468 H
0.0000 1.8093 2.1468 H
0.0000 0.0000 2.9002 Pt
0.0000 0.0000 5.6870 Pt
```

Summary:
DOS at the Fermi energy	1.02	states/eV/f.u.
electronic total energy	-36.14	eV/atom
density	14.3	g/cm³
symmetry	I4/mmm (139)

---

(3)
Here is a PBEsol-optimized structure of RbRe3H from Alexandria via LeMat-Bulk. Energies are from meta-GGA SCAN.

POSCAR file:
```
RbRe3H
1.0
4.1616 0.0000 0.0000
0.0000 4.1616 0.0000
0.0000 0.0000 4.1616
Rb Re H
1 3 1
Cartesian
0.0000 0.0000 0.0000 Rb
0.0000 2.0808 2.0808 Re
2.0808 0.0000 2.0808 Re
2.0808 2.0808 0.0000 Re
2.0808 2.0808 2.0808 H
```

Summary:
DOS at the Fermi energy	3.72	states/eV/f.u.
electronic total energy	-45.31	eV/atom
density	14.9	g/cm³
symmetry	Pm-3m (221)

---

Which of these has the highest electronic total energy? ZrH2Pt2